## Sr2CaTe (PBE)

Data for an optimized crystal structure of Sr2CaTe.

Values from the calculation:
DOS at the Fermi energy in states/eV per atom: 0.7014
Total moment in μB per cell: 0.00
Theoretical density in g cm⁻³: 3.3
E_form (uncorrected) in eV/atom: -0.70

Lattice parameters (Å, degrees): 4.461 7.545 7.545 42.23 90.00 90.00
Atoms (fractional coordinates):
Sr 0.000 0.000 0.000
Sr 0.500 0.313 0.313
Ca 0.500 0.605 0.605
Te 0.000 0.763 0.763

***

## Sr2CaTe (PBE)

Data for an optimized crystal structure of Sr2CaTe.

Values from the calculation:
DOS at the Fermi energy in states/eV per atom: 0.7609
Total moment in μB per cell: 0.00
Theoretical density in g cm⁻³: 3.4
E_form (uncorrected) in eV/atom: -0.72

Lattice parameters (Å, degrees): 4.065 4.065 10.237 90.00 90.00 90.00
Atoms (fractional coordinates):
Sr 0.000 0.000 0.192
Sr 0.000 0.000 0.808
Ca 0.500 0.500 0.500
Te 0.500 0.500 0.000

***

## SrCa2Te (PBE)

Data for an optimized crystal structure of SrCa2Te.

Values from the calculation:
DOS at the Fermi energy in states/eV per atom: 0.7809
Total moment in μB per cell: 0.00
Theoretical density in g cm⁻³: 3.1
E_form (uncorrected) in eV/atom: -0.68

Lattice parameters (Å, degrees): 3.958 3.958 10.011 90.00 90.00 90.00
Atoms (fractional coordinates):
Sr 0.000 0.000 0.000
Ca 0.500 0.500 0.317
Ca 0.500 0.500 0.683
Te 0.000 0.000 0.500

***

## SrCa2Te (PBE)

Data for an optimized crystal structure of SrCa2Te.

Values from the calculation:
DOS at the Fermi energy in states/eV per atom: 0.6267
Total moment in μB per cell: 0.00
Theoretical density in g cm⁻³: 2.9
E_form (uncorrected) in eV/atom: -0.71

Lattice parameters (Å, degrees): 10.927 10.927 10.927 22.65 22.65 22.65
Atoms (fractional coordinates):
Sr 0.000 0.000 0.000
Ca 0.559 0.559 0.559
Ca 0.771 0.771 0.771
Te 0.165 0.165 0.165

***

Among the records above, which one has the lowest DOS at the Fermi energy? number 4

***

Look up the theoretical density of the fourth one. 2.9 g cm⁻³

***

Please write out number 2 again, unchanged.
## Sr2CaTe (PBE)

Data for an optimized crystal structure of Sr2CaTe.

Values from the calculation:
DOS at the Fermi energy in states/eV per atom: 0.7609
Total moment in μB per cell: 0.00
Theoretical density in g cm⁻³: 3.4
E_form (uncorrected) in eV/atom: -0.72

Lattice parameters (Å, degrees): 4.065 4.065 10.237 90.00 90.00 90.00
Atoms (fractional coordinates):
Sr 0.000 0.000 0.192
Sr 0.000 0.000 0.808
Ca 0.500 0.500 0.500
Te 0.500 0.500 0.000

***

Look up the DOS at the Fermi energy of the first one. 0.7014 states/eV per atom